Record 1
# PBE LiIrRu, optimized geometry
data_LiIrRu
_cell_length_a 2.723
_cell_length_b 3.790
_cell_length_c 7.759
_cell_angle_alpha 90.00
_cell_angle_beta 90.00
_cell_angle_gamma 90.00
_space_group_name_H-M_alt 'P 1'
_space_group_IT_number 1
_space_group_name_Hall 'P 1'
loop_
_atom_site_label
_atom_site_fract_x
_atom_site_fract_y
_atom_site_fract_z
Li1 0.000 0.000 0.000
Li2 0.500 0.500 0.500
Ir1 0.000 0.000 0.331
Ir2 0.500 0.500 0.831
Ru1 0.000 0.000 0.672
Ru2 0.500 0.500 0.172
# Fermi-level density of states ... 5.85 states/eV per cell
# DFT formation energy ... 0.026 eV per atom
# ΔE to the lowest computed polymorph ... 0.131 eV/f.u.
# Space group ... Imm2, No. 44

=====

Record 2
# PBE TmUS2, optimized geometry
data_TmUS2
_cell_length_a 3.788
_cell_length_b 3.788
_cell_length_c 19.555
_cell_angle_alpha 90.00
_cell_angle_beta 90.00
_cell_angle_gamma 120.00
_space_group_name_H-M_alt 'P 1'
_space_group_IT_number 1
_space_group_name_Hall 'P 1'
loop_
_atom_site_label
_atom_site_fract_x
_atom_site_fract_y
_atom_site_fract_z
Tm1 0.000 0.000 0.000
Tm2 0.333 0.667 0.667
Tm3 0.667 0.333 0.333
U1 0.000 0.000 0.500
U2 0.333 0.667 0.167
U3 0.667 0.333 0.833
S1 0.000 0.000 0.253
S2 0.000 0.000 0.747
S3 0.333 0.667 0.414
S4 0.333 0.667 0.919
S5 0.667 0.333 0.081
S6 0.667 0.333 0.586
# Fermi-level density of states ... 13.18 states/eV per cell
# ΔE to the lowest computed polymorph ... 0.000 eV/f.u.
# Space group ... R-3m, No. 166
# Formation energy from raw total energies ... -635.6 kJ/mol of formula units

=====

Record 3
# PBE ZnCuTe2, optimized geometry
data_ZnCuTe2
_cell_length_a 4.169
_cell_length_b 7.525
_cell_length_c 7.544
_cell_angle_alpha 114.82
_cell_angle_beta 90.01
_cell_angle_gamma 90.01
_space_group_name_H-M_alt 'P 1'
_space_group_IT_number 1
_space_group_name_Hall 'P 1'
loop_
_atom_site_label
_atom_site_fract_x
_atom_site_fract_y
_atom_site_fract_z
Zn1 0.000 0.000 0.000
Zn2 0.500 0.006 0.501
Cu1 0.498 0.476 0.973
Cu2 0.998 0.266 0.737
Te1 0.000 0.859 0.609
Te2 0.498 0.393 0.606
Te3 0.500 0.860 0.113
Te4 0.998 0.388 0.124
# Fermi-level density of states ... 4.26 states/eV per cell
# ΔE to the lowest computed polymorph ... 0.119 eV/f.u.
# Space group ... P1, No. 1
# Formation energy from raw total energies ... -75.1 kJ/mol of formula units

=====

Record 4
# PBE Dy5NiTe4, optimized geometry
data_Dy5NiTe4
_cell_length_a 7.454
_cell_length_b 7.454
_cell_length_c 7.454
_cell_angle_alpha 99.63
_cell_angle_beta 99.63
_cell_angle_gamma 131.71
_space_group_name_H-M_alt 'P 1'
_space_group_IT_number 1
_space_group_name_Hall 'P 1'
loop_
_atom_site_label
_atom_site_fract_x
_atom_site_fract_y
_atom_site_fract_z
Dy1 0.000 0.000 0.000
Dy2 0.241 0.594 0.835
Dy3 0.406 0.241 0.647
Dy4 0.594 0.759 0.353
Dy5 0.759 0.406 0.165
Ni1 0.500 0.500 0.000
Te1 0.086 0.310 0.396
Te2 0.310 0.914 0.224
Te3 0.690 0.086 0.776
Te4 0.914 0.690 0.604
# Fermi-level density of states ... 8.92 states/eV per cell
# Space group ... I4/m, No. 87
# Formation energy from raw total energies ... -1075.9 kJ/mol of formula units